{"formula": "LiHWO2", "functional": "PBE+U", "state": "optimized geometry", "relative_energy_mev_per_atom": 747, "e_tot_ev_per_atom": -4.971, "lattice_angstrom": [[3.6394, 0.0000, 0.0000], [0.0000, 3.6394, 0.0000], [0.0000, 0.0000, 3.0419]], "species": ["Li", "H", "W", "O", "O"], "frac_coords": [[0.0000, 0.0000, 0.0000], [0.0000, 0.0000, 0.5000], [0.5000, 0.5000, 0.5000], [0.0000, 0.5000, 0.0000], [0.5000, 0.0000, 0.0000]]}